Record 1
LiAg6Se4: optimized geometry, GGA-PBE.

Cell lengths 8.0359, 8.0359, 8.0359 Å; angles 59.95, 138.62, 138.62 degrees
Element x y z (fractional)
Ag  0.5000  0.0000  0.5000
Ag  0.5000  0.5000  0.0000
Ag  0.4683  0.5759  0.5759
Ag  0.0000  0.8924  0.4241
Ag  0.0000  0.4241  0.8924
Ag  0.5317  0.1076  0.1076
Se  0.0000  0.1029  0.6242
Se  0.5213  0.8971  0.8971
Se  0.4787  0.3758  0.3758
Se  0.0000  0.6242  0.1029
Li  0.0000  0.0000  0.0000

ΔE_f (raw): -0.18 eV per atom



Record 2
LiAg2Se2: optimized geometry, GGA-PBE.

Cell lengths 4.1578, 4.4713, 7.2394 Å; angles 107.99, 106.69, 90.00 degrees
Element x y z (fractional)
Se  0.3761  0.8761  0.7521
Se  0.6239  0.1239  0.2479
Ag  0.7302  0.7302  0.4604
Ag  0.2698  0.2698  0.5396
Li  0.0000  0.0000  0.0000

ΔE_f (raw): -0.31 eV per atom
ΔE to the lowest computed polymorph: 0.000 eV per atom



Which value of ΔE_f (raw) does entry 1 give?
-0.18 eV per atom



What did the second record say?
LiAg2Se2: optimized geometry, GGA-PBE.

Cell lengths 4.1578, 4.4713, 7.2394 Å; angles 107.99, 106.69, 90.00 degrees
Element x y z (fractional)
Se  0.3761  0.8761  0.7521
Se  0.6239  0.1239  0.2479
Ag  0.7302  0.7302  0.4604
Ag  0.2698  0.2698  0.5396
Li  0.0000  0.0000  0.0000

ΔE_f (raw): -0.31 eV per atom
ΔE to the lowest computed polymorph: 0.000 eV per atom



The lowest ΔE_f (raw) belongs to which entry?
LiAg2Se2



Which of these has the lowest ΔE_f (raw)?
LiAg2Se2